{"formula": "MnHO2F", "functional": "PBE with a Hubbard U", "state": "optimized geometry", "lattice_angstrom": [[-2.879, -0.153, 2.464], [-2.457, -0.187, -2.882], [0.179, -2.846, 0.032]], "species": ["F", "Mn", "O", "O", "H"], "fractional_positions": [[0.000, 0.000, 0.500], [0.500, 0.500, 0.500], [0.500, 0.000, 0.000], [0.000, 0.500, 0.000], [0.000, 0.000, 0.000]], "sg": "P4/mmm", "crystal_system": "tetragonal", "energy_ev_per_cell": -24.07, "total_magnetization_mub_per_atom": 0.600}